Record 1
# Rb3Cd2Hg4Au2 (PBE-GGA, relaxed)
data_Rb3Cd2Hg4Au2
_symmetry_space_group_name_H-M 'P -3 m 1'
_symmetry_Int_Tables_number 164
_symmetry_space_group_name_Hall '-P 3 2"'
_cell_length_a 5.0791
_cell_length_b 5.0791
_cell_length_c 17.1265
_cell_angle_alpha 90.00
_cell_angle_beta 90.00
_cell_angle_gamma 120.00
loop_
_atom_site_label
_atom_site_type_symbol
_atom_site_fract_x
_atom_site_fract_y
_atom_site_fract_z
_atom_site_occupancy
Rb1 Rb 0.0000 0.0000 0.0000 1
Rb2 Rb 0.0000 0.0000 0.2680 1
Cd1 Cd 0.3333 0.6667 0.5753 1
Hg1 Hg 0.3333 0.6667 0.4019 1
Hg2 Hg 0.3333 0.6667 0.8660 1
Au1 Au 0.3333 0.6667 0.1334 1
# ΔE_f = -1.959 eV/f.u.
# Calculated density = 7.28 g cm⁻³
# Total magnetization = 0.00 μB per cell

Record 2
# RbCdHgAu2 (PBE-GGA, relaxed)
data_RbCdHgAu2
_symmetry_space_group_name_H-M 'P 4/m m m'
_symmetry_Int_Tables_number 123
_symmetry_space_group_name_Hall '-P 4 2'
_cell_length_a 5.457
_cell_length_b 5.457
_cell_length_c 5.560
_cell_angle_alpha 90.00
_cell_angle_beta 90.00
_cell_angle_gamma 90.00
loop_
_atom_site_label
_atom_site_type_symbol
_atom_site_fract_x
_atom_site_fract_y
_atom_site_fract_z
_atom_site_occupancy
Rb1 Rb 0.000 0.000 0.000 1
Cd1 Cd 0.500 0.500 0.500 1
Hg1 Hg 0.500 0.500 0.000 1
Au1 Au 0.000 0.500 0.500 1
# ΔE_f = -0.298 eV/f.u.
# Calculated density = 7.95 g cm⁻³
# Energy above the most stable polymorph in this dataset = 0.756 eV per formula unit
# Total magnetization = 0.00 μB per cell

Record 3
# Rb2CdHg4Au3 (PBE-GGA, relaxed)
data_Rb2CdHg4Au3
_symmetry_space_group_name_H-M 'P -4 m 2'
_symmetry_Int_Tables_number 115
_symmetry_space_group_name_Hall 'P -4 -2'
_cell_length_a 4.792
_cell_length_b 4.792
_cell_length_c 12.638
_cell_angle_alpha 90.00
_cell_angle_beta 90.00
_cell_angle_gamma 90.00
loop_
_atom_site_label
_atom_site_type_symbol
_atom_site_fract_x
_atom_site_fract_y
_atom_site_fract_z
_atom_site_occupancy
Rb1 Rb 0.000 0.500 0.241 1
Cd1 Cd 0.000 0.000 0.500 1
Hg1 Hg 0.000 0.000 0.000 1
Hg2 Hg 0.000 0.500 0.640 1
Hg3 Hg 0.500 0.500 0.000 1
Au1 Au 0.000 0.500 0.864 1
Au2 Au 0.500 0.500 0.500 1
# ΔE_f = -1.692 eV/f.u.
# Calculated density = 9.59 g cm⁻³
# Total magnetization = 0.00 μB per cell

Record 4
# Rb3Cd9HgAu2 (PBE-GGA, relaxed)
data_Rb3Cd9HgAu2
_symmetry_space_group_name_H-M 'P -3 m 1'
_symmetry_Int_Tables_number 164
_symmetry_space_group_name_Hall '-P 3 2"'
_cell_length_a 7.7382
_cell_length_b 7.7382
_cell_length_c 9.5592
_cell_angle_alpha 90.00
_cell_angle_beta 90.00
_cell_angle_gamma 120.00
loop_
_atom_site_label
_atom_site_type_symbol
_atom_site_fract_x
_atom_site_fract_y
_atom_site_fract_z
_atom_site_occupancy
Rb1 Rb 0.0000 0.0000 0.0000 1
Rb2 Rb 0.3333 0.6667 0.6681 1
Cd1 Cd 0.0000 0.5000 0.0000 1
Cd2 Cd 0.1712 0.3425 0.3299 1
Hg1 Hg 0.0000 0.0000 0.5000 1
Au1 Au 0.3333 0.6667 0.1597 1
# ΔE_f = -0.881 eV/f.u.
# Calculated density = 6.24 g cm⁻³
# Total magnetization = 0.00 μB per cell

Record 5
# Rb2Cd3HgAu4 (PBE-GGA, relaxed)
data_Rb2Cd3HgAu4
_symmetry_space_group_name_H-M 'P -4 m 2'
_symmetry_Int_Tables_number 115
_symmetry_space_group_name_Hall 'P -4 -2'
_cell_length_a 5.061
_cell_length_b 5.061
_cell_length_c 10.968
_cell_angle_alpha 90.00
_cell_angle_beta 90.00
_cell_angle_gamma 90.00
loop_
_atom_site_label
_atom_site_type_symbol
_atom_site_fract_x
_atom_site_fract_y
_atom_site_fract_z
_atom_site_occupancy
Rb1 Rb 0.000 0.500 0.246 1
Cd1 Cd 0.000 0.500 0.882 1
Cd2 Cd 0.500 0.500 0.500 1
Hg1 Hg 0.000 0.000 0.500 1
Au1 Au 0.000 0.000 0.000 1
Au2 Au 0.000 0.500 0.628 1
Au3 Au 0.500 0.500 0.000 1
# ΔE_f = -2.136 eV/f.u.
# Calculated density = 8.85 g cm⁻³
# Total magnetization = 0.00 μB per cell

Record 6
# RbCdHgAu2 (PBE-GGA, relaxed)
data_RbCdHgAu2
_symmetry_space_group_name_H-M 'I -4 m 2'
_symmetry_Int_Tables_number 119
_symmetry_space_group_name_Hall 'I -4 -2'
_cell_length_a 4.838
_cell_length_b 4.838
_cell_length_c 11.973
_cell_angle_alpha 90.00
_cell_angle_beta 90.00
_cell_angle_gamma 90.00
loop_
_atom_site_label
_atom_site_type_symbol
_atom_site_fract_x
_atom_site_fract_y
_atom_site_fract_z
_atom_site_occupancy
Rb1 Rb 0.000 0.000 0.000 1
Cd1 Cd 0.000 0.500 0.750 1
Hg1 Hg 0.000 0.500 0.250 1
Au1 Au 0.000 0.000 0.385 1
# ΔE_f = -1.055 eV/f.u.
# Calculated density = 9.39 g cm⁻³
# Energy above the most stable polymorph in this dataset = 0.000 eV per formula unit
# Total magnetization = 0.00 μB per cell

Record 7
# Rb2Cd12HgAu3 (PBE-GGA, relaxed)
data_Rb2Cd12HgAu3
_symmetry_space_group_name_H-M 'R -3 m'
_symmetry_Int_Tables_number 166
_symmetry_space_group_name_Hall '-R 3 2"'
_cell_length_a 9.8865
_cell_length_b 9.8865
_cell_length_c 21.5721
_cell_angle_alpha 90.00
_cell_angle_beta 90.00
_cell_angle_gamma 120.00
loop_
_atom_site_label
_atom_site_type_symbol
_atom_site_fract_x
_atom_site_fract_y
_atom_site_fract_z
_atom_site_occupancy
Rb1 Rb 0.0000 0.0000 0.0974 1
Cd1 Cd 0.0074 0.5037 0.1312 1
Cd2 Cd 0.1110 0.2220 0.7211 1
Hg1 Hg 0.0000 0.0000 0.5000 1
Au1 Au 0.0000 0.5000 0.0000 1
# ΔE_f = 0.789 eV/f.u.
# Calculated density = 6.31 g cm⁻³
# Total magnetization = 0.00 μB per cell

Record 8
# Rb2Cd4HgAu3 (PBE-GGA, relaxed)
data_Rb2Cd4HgAu3
_symmetry_space_group_name_H-M 'P -4 m 2'
_symmetry_Int_Tables_number 115
_symmetry_space_group_name_Hall 'P -4 -2'
_cell_length_a 5.113
_cell_length_b 5.113
_cell_length_c 11.042
_cell_angle_alpha 90.00
_cell_angle_beta 90.00
_cell_angle_gamma 90.00
loop_
_atom_site_label
_atom_site_type_symbol
_atom_site_fract_x
_atom_site_fract_y
_atom_site_fract_z
_atom_site_occupancy
Rb1 Rb 0.000 0.500 0.248 1
Cd1 Cd 0.000 0.000 0.500 1
Cd2 Cd 0.000 0.500 0.869 1
Cd3 Cd 0.500 0.500 0.500 1
Hg1 Hg 0.500 0.500 0.000 1
Au1 Au 0.000 0.000 0.000 1
Au2 Au 0.000 0.500 0.617 1
# ΔE_f = -2.022 eV/f.u.
# Calculated density = 8.12 g cm⁻³
# Total magnetization = 0.00 μB per cell

Record 9
# Cd2HgRuAu (PBE-GGA, relaxed)
data_Cd2HgRuAu
_symmetry_space_group_name_H-M 'P 4/m m m'
_symmetry_Int_Tables_number 123
_symmetry_space_group_name_Hall '-P 4 2'
_cell_length_a 5.223
_cell_length_b 5.223
_cell_length_c 5.183
_cell_angle_alpha 90.00
_cell_angle_beta 90.00
_cell_angle_gamma 90.00
loop_
_atom_site_label
_atom_site_type_symbol
_atom_site_fract_x
_atom_site_fract_y
_atom_site_fract_z
_atom_site_occupancy
Cd1 Cd 0.000 0.500 0.000 1
Hg1 Hg 0.000 0.000 0.000 1
Ru1 Ru 0.000 0.000 0.500 1
Au1 Au 0.500 0.500 0.500 1
# ΔE_f = 5.882 eV/f.u.
# Calculated density = 8.50 g cm⁻³
# Total magnetization = 2.44 μB per cell

Record 10
# CdHgRuAu2 (PBE-GGA, relaxed)
data_CdHgRuAu2
_symmetry_space_group_name_H-M 'P 4/m m m'
_symmetry_Int_Tables_number 123
_symmetry_space_group_name_Hall '-P 4 2'
_cell_length_a 5.119
_cell_length_b 5.119
_cell_length_c 5.141
_cell_angle_alpha 90.00
_cell_angle_beta 90.00
_cell_angle_gamma 90.00
loop_
_atom_site_label
_atom_site_type_symbol
_atom_site_fract_x
_atom_site_fract_y
_atom_site_fract_z
_atom_site_occupancy
Cd1 Cd 0.000 0.000 0.000 1
Hg1 Hg 0.500 0.500 0.500 1
Ru1 Ru 0.000 0.000 0.500 1
Au1 Au 0.000 0.500 0.000 1
# ΔE_f = 5.847 eV/f.u.
# Calculated density = 9.96 g cm⁻³
# Total magnetization = 2.24 μB per cell

Record 11
# Cd2HgAuS (PBE-GGA, relaxed)
data_Cd2HgAuS
_symmetry_space_group_name_H-M 'P 4/m m m'
_symmetry_Int_Tables_number 123
_symmetry_space_group_name_Hall '-P 4 2'
_cell_length_a 5.367
_cell_length_b 5.367
_cell_length_c 5.203
_cell_angle_alpha 90.00
_cell_angle_beta 90.00
_cell_angle_gamma 90.00
loop_
_atom_site_label
_atom_site_type_symbol
_atom_site_fract_x
_atom_site_fract_y
_atom_site_fract_z
_atom_site_occupancy
Cd1 Cd 0.000 0.500 0.000 1
Hg1 Hg 0.000 0.000 0.000 1
Au1 Au 0.000 0.000 0.500 1
S1 S 0.500 0.500 0.500 1
# Uncorrected formation energy = 0.63 eV per atom
# Calculated density = 7.25 g cm⁻³
# Total magnetization = 0.00 μB per cell

Record 12
# Sc4CdHg2Au (PBE-GGA, relaxed)
data_Sc4CdHg2Au
_symmetry_space_group_name_H-M 'R -3 m'
_symmetry_Int_Tables_number 166
_symmetry_space_group_name_Hall '-R 3 2"'
_cell_length_a 4.9410
_cell_length_b 4.9410
_cell_length_c 24.1924
_cell_angle_alpha 90.00
_cell_angle_beta 90.00
_cell_angle_gamma 120.00
loop_
_atom_site_label
_atom_site_type_symbol
_atom_site_fract_x
_atom_site_fract_y
_atom_site_fract_z
_atom_site_occupancy
Sc1 Sc 0.0000 0.0000 0.1197 1
Sc2 Sc 0.0000 0.0000 0.3711 1
Cd1 Cd 0.0000 0.0000 0.5000 1
Hg1 Hg 0.0000 0.0000 0.2436 1
Au1 Au 0.0000 0.0000 0.0000 1
# ΔE_f = -3.966 eV/f.u.
# Calculated density = 8.67 g cm⁻³
# Total magnetization = 0.00 μB per cell